Record 1
First-principles (PBE-GGA) data for a geometry-optimized Be3W structure, as listed in Alexandria via LeMat-Bulk.

abc: 4.3958 4.3958 4.3958
angles: 90.00 90.00 90.00
With the nearest neighbours (Å) after each atom.
Fractional positions:
Be: 0.0000 0.2500 0.5000  2 Be 2.20, 4 W 2.46
Be: 0.0000 0.7500 0.5000  2 Be 2.20, 4 W 2.46
Be: 0.2500 0.5000 0.0000  2 Be 2.20, 4 W 2.46
Be: 0.5000 0.0000 0.2500  2 Be 2.20, 4 W 2.46
Be: 0.5000 0.0000 0.7500  2 Be 2.20, 4 W 2.46
Be: 0.7500 0.5000 0.0000  2 Be 2.20, 4 W 2.46
W: 0.0000 0.0000 0.0000  12 Be 2.46
W: 0.5000 0.5000 0.5000  12 Be 2.46

Results
As for the energy: -5.585 eV/atom. Its space group is Pm-3n, No. 223.

***

Record 2
First-principles (PBE-GGA) data for a geometry-optimized Be3W structure, as listed in Alexandria via LeMat-Bulk.

abc: 4.1747 4.1747 2.6330
angles: 90.00 90.00 107.07
With the nearest neighbours (Å) after each atom.
Fractional positions:
Be: 0.0000 0.0000 0.0000  10 Be 2.47-2.63, 2 W 2.48
Be: 0.0000 0.5000 0.5000  4 W 2.47, 8 Be 2.47-2.63
Be: 0.5000 0.0000 0.5000  4 W 2.47, 8 Be 2.47-2.63
W: 0.5000 0.5000 0.0000  10 Be 2.47-2.48, 2 W 2.63

Results
As for the energy: -5.847 eV/atom. Its space group is Cmmm, No. 65.

***

Record 3
First-principles (PBE-GGA) data for a geometry-optimized BeW2 structure, as listed in Alexandria via LeMat-Bulk.

abc: 4.6925 4.6925 4.6925
angles: 147.31 128.14 62.67
With the nearest neighbours (Å) after each atom.
Fractional positions:
Be: 0.0000 0.0000 0.0000  2 Be 2.64, 10 W 2.70-2.77
W: 0.3365 0.3365 0.0000  7 W 2.62-2.81, 5 Be 2.70-2.77
W: 0.6635 0.6635 0.0000  7 W 2.62-2.81, 5 Be 2.70-2.77

Results
As for the energy: -9.591 eV/atom. Its space group is Immm, No. 71.

***

Record 4
First-principles (PBE-GGA) data for a geometry-optimized Be3W structure, as listed in Alexandria via LeMat-Bulk.

abc: 4.5536 4.5536 4.5536
angles: 90.00 90.00 90.00
With the nearest neighbours (Å) after each atom.
Fractional positions:
Be: 0.0000 0.0000 0.5000  2 W 2.28
Be: 0.0000 0.5000 0.0000  2 W 2.28
Be: 0.5000 0.0000 0.0000  2 W 2.28
W: 0.0000 0.0000 0.0000  6 Be 2.28

Results
As for the energy: -3.768 eV/atom. Its space group is Pm-3m, No. 221.

***

Record 5
First-principles (PBE-GGA) data for a geometry-optimized BeW2 structure, as listed in Alexandria via LeMat-Bulk.

abc: 4.7266 4.7266 4.7266
angles: 104.77 104.77 119.35
With the nearest neighbours (Å) after each atom.
Fractional positions:
Be: 0.2500 0.2500 0.0000  2 Be 2.39, 8 W 2.46
Be: 0.7500 0.7500 0.0000  2 Be 2.39, 8 W 2.46
W: 0.1683 0.6683 0.8366  4 Be 2.46, 3 W 2.73-2.75
W: 0.3317 0.1683 0.5000  4 Be 2.46, 3 W 2.73-2.75
W: 0.6683 0.8317 0.5000  4 Be 2.46, 3 W 2.73-2.75
W: 0.8317 0.3317 0.1634  4 Be 2.46, 3 W 2.73-2.75

Results
As for the energy: -10.004 eV/atom. Its space group is I4/mcm, No. 140.

***

Record 6
First-principles (PBE-GGA) data for a geometry-optimized Be5W structure, as listed in Alexandria via LeMat-Bulk.

abc: 2.6692 2.6692 8.0710
angles: 90.00 90.00 90.00
With the nearest neighbours (Å) after each atom.
Fractional positions:
Be: 0.0000 0.0000 0.0000  10 Be 2.23-2.32
Be: 0.0000 0.0000 0.2878  5 Be 2.20-2.32
Be: 0.0000 0.0000 0.7122  5 Be 2.20-2.32
Be: 0.5000 0.5000 0.1471  9 Be 2.20-2.37
Be: 0.5000 0.5000 0.8529  9 Be 2.20-2.37
W: 0.5000 0.5000 0.5000  10 Be 2.55-2.85, 4 W 2.67

Results
As for the energy: -5.149 eV/atom. Its space group is P4/mmm, No. 123.

***

Record 7
First-principles (PBE-GGA) data for a geometry-optimized Be3W structure, as listed in Alexandria via LeMat-Bulk.

abc: 7.9517 7.9517 7.9517
angles: 19.06 19.06 19.06
With the nearest neighbours (Å) after each atom.
Fractional positions:
Be: 0.0000 0.0000 0.0000  12 Be 2.36-2.63
Be: 0.2561 0.2561 0.2561  9 Be 2.36-2.63, 3 W 2.59
Be: 0.7439 0.7439 0.7439  9 Be 2.36-2.63, 3 W 2.59
W: 0.5000 0.5000 0.5000  6 Be 2.59, 6 W 2.63

Results
As for the energy: -5.567 eV/atom. Its space group is R-3m, No. 166.

***

Record 8
First-principles (PBE-GGA) data for a geometry-optimized BeW2 structure, as listed in Alexandria via LeMat-Bulk.

abc: 6.6700 6.6700 3.1470
angles: 90.00 90.00 120.00
With the nearest neighbours (Å) after each atom.
Fractional positions:
Be: 0.0000 0.0000 0.0000  6 W 2.35
Be: 0.3333 0.6667 0.5000  9 W 2.49-2.58
Be: 0.6667 0.3333 0.5000  9 W 2.49-2.58
W: 0.0000 0.2624 0.5000  4 Be 2.35-2.49
W: 0.0000 0.6036 0.0000  5 Be 2.58-2.64, 6 W 2.77-2.81
W: 0.2624 0.0000 0.5000  4 Be 2.35-2.49
W: 0.3964 0.3964 0.0000  5 Be 2.58-2.64, 6 W 2.77-2.81
W: 0.6036 0.0000 0.0000  5 Be 2.58-2.64, 6 W 2.77-2.81
W: 0.7376 0.7376 0.5000  4 Be 2.35-2.49

Results
As for the energy: -9.832 eV/atom. Its space group is P-62m, No. 189.

***

Number 1: ΔH_f (0 K) 0.448 eV/atom. Number 2: ΔH_f (0 K) 0.186 eV/atom. Number 3: ΔH_f (0 K) 0.287 eV/atom. Number 4: ΔH_f (0 K) 2.265 eV/atom. Number 5: ΔH_f (0 K) -0.126 eV/atom. Number 6: ΔH_f (0 K) 0.115 eV/atom. Number 7: ΔH_f (0 K) 0.466 eV/atom. Number 8: ΔH_f (0 K) 0.045 eV/atom.